Y3HoS4: optimized geometry, PBE-GGA.

Lattice parameters (Å, degrees): 5.530 5.530 5.530 90.00 90.00 90.00
Fractional positions:
Y 0.000 0.000 0.500
Y 0.000 0.500 0.000
Y 0.500 0.000 0.000
Ho 0.500 0.500 0.500
S 0.000 0.000 0.000
S 0.000 0.500 0.500
S 0.500 0.000 0.500
S 0.500 0.500 0.000

Summary:
SG: No. 221
ρ, Mg/m³: 5.50
Formation energy from raw total energies, eV/atom: -1.980
Energy relative to the lowest polymorph listed for this composition, eV/atom: 0.008

---

Y8HoS4: optimized geometry, PBE-GGA.

Lattice parameters (Å, degrees): 9.556 9.556 12.859 129.34 129.34 22.92
Fractional positions:
Y 0.038 0.038 0.242
Y 0.306 0.306 0.430
Y 0.339 0.339 0.180
Y 0.371 0.371 0.907
Y 0.629 0.629 0.093
Y 0.661 0.661 0.820
Y 0.694 0.694 0.570
Y 0.962 0.962 0.758
Ho 0.000 0.000 0.500
S 0.150 0.150 0.963
S 0.328 0.328 0.663
S 0.672 0.672 0.337
S 0.850 0.850 0.037

Summary:
SG: No. 12
ρ, Mg/m³: 4.78
Formation energy from raw total energies, eV/atom: -1.176

---

Y6HoS8: optimized geometry, PBE-GGA.

Lattice parameters (Å, degrees): 7.816 7.816 7.816 60.00 60.00 60.00
Fractional positions:
Y 0.000 0.000 0.500
Y 0.000 0.500 0.000
Y 0.000 0.500 0.500
Y 0.500 0.000 0.000
Y 0.500 0.000 0.500
Y 0.500 0.500 0.000
Ho 0.000 0.000 0.000
S 0.249 0.249 0.751
S 0.249 0.751 0.249
S 0.249 0.751 0.751
S 0.250 0.250 0.250
S 0.750 0.750 0.750
S 0.751 0.249 0.249
S 0.751 0.249 0.751
S 0.751 0.751 0.249

Summary:
SG: No. 225
ρ, Mg/m³: 4.70
Formation energy from raw total energies, eV/atom: -2.055

---

YHo2ZrS4: optimized geometry, PBE-GGA.

Lattice parameters (Å, degrees): 6.655 3.856 6.664 90.00 109.71 90.00
Fractional positions:
Y 0.000 0.000 0.000
Ho 0.000 0.500 0.500
Ho 0.500 0.000 0.500
Zr 0.500 0.500 0.000
S 0.255 0.500 0.249
S 0.256 0.000 0.754
S 0.744 0.000 0.246
S 0.745 0.500 0.751

Summary:
SG: No. 10
ρ, Mg/m³: 6.58
Formation energy from raw total energies, eV/atom: -1.818

---

- Look up the formation energy from raw total energies of the second one.
  -1.176 eV/atom